Material: Na2TaInTc
Method: DFT, PBE
State: relaxed

a b c (Å): 5.8534 5.8534 4.5126
angles (deg): 90.00 90.00 90.00
Closest atoms and distances in Å follow each position.
Element x y z (fractional)
Na1 0.0000 0.5000 0.0000  2 Ta 2.93
Na2 0.5000 0.0000 0.0000  2 Ta 2.93
Ta1 0.0000 0.0000 0.0000  2 Tc 2.26
In1 0.5000 0.5000 0.5000  8 Na 3.70
Tc1 0.0000 0.0000 0.5000  2 Ta 2.26

- DFT formation energy (eV/atom) = 1.329
- symmetry = No. 123


Material: NaTaIn2Tc
Method: DFT, PBE
State: relaxed

a b c (Å): 5.5203 5.5203 4.6690
angles (deg): 90.00 90.00 90.00
Closest atoms and distances in Å follow each position.
Element x y z (fractional)
Na1 0.0000 0.0000 0.0000  8 In 3.62, 4 Tc 3.90
Ta1 0.5000 0.5000 0.5000  2 Tc 2.33
In1 0.0000 0.5000 0.5000  2 Ta 2.76
In2 0.5000 0.0000 0.5000  2 Ta 2.76
Tc1 0.5000 0.5000 0.0000  2 Ta 2.33

- DFT formation energy (eV/atom) = 0.835
- symmetry = No. 123


Material: NaTaIn2W
Method: DFT, PBE
State: relaxed

a b c (Å): 5.5062 5.5062 4.8183
angles (deg): 90.00 90.00 90.00
Closest atoms and distances in Å follow each position.
Element x y z (fractional)
Na1 0.0000 0.0000 0.0000  8 In 3.66, 4 W 3.89
Ta1 0.5000 0.5000 0.5000  2 W 2.41
In1 0.0000 0.5000 0.5000  2 Ta 2.75
In2 0.5000 0.0000 0.5000  2 Ta 2.75
W1 0.5000 0.5000 0.0000  2 Ta 2.41

- DFT formation energy (eV/atom) = 1.053
- symmetry = No. 123


Material: NaTb3In4
Method: DFT, PBE
State: relaxed

a b c (Å): 9.2835 9.2835 9.2835
angles (deg): 33.15 33.15 33.15
Closest atoms and distances in Å follow each position.
Element x y z (fractional)
Na1 0.0000 0.0000 0.0000  8 In 3.25-3.28
Tb1 0.2538 0.2538 0.2538  8 In 3.20-3.39
Tb2 0.5000 0.5000 0.5000  8 In 3.25-3.27
Tb3 0.7462 0.7462 0.7462  8 In 3.20-3.39
In1 0.1249 0.1249 0.1249  7 Tb 3.25-3.39, 1 Na 3.28
In2 0.3756 0.3756 0.3756  5 Tb 3.20-3.27, 3 Na 3.25
In3 0.6244 0.6244 0.6244  5 Tb 3.20-3.27, 3 Na 3.25
In4 0.8751 0.8751 0.8751  7 Tb 3.25-3.39, 1 Na 3.28

- DFT formation energy (eV/atom) = -0.381
- symmetry = No. 166


Material: NaTbIn
Method: DFT, PBE
State: relaxed

a b c (Å): 7.9167 7.9167 7.9167
angles (deg): 155.05 155.05 35.58
Closest atoms and distances in Å follow each position.
Element x y z (fractional)
Na1 0.0000 0.0000 0.0000  4 In 3.39, 4 Na 3.42
Tb1 0.6997 0.6997 0.0000  4 In 3.24, 4 Tb 3.42
In1 0.3424 0.3424 0.0000  4 Tb 3.24, 4 Na 3.39, 4 In 3.42

- DFT formation energy (eV/atom) = -0.057
- polymorph energy (0 for the lowest one) (meV per atom) = 125
- symmetry = No. 107


Material: NaTb2In9
Method: DFT, PBE
State: relaxed

a b c (Å): 4.6470 4.6470 14.0890
angles (deg): 90.00 90.00 90.00
Closest atoms and distances in Å follow each position.
Element x y z (fractional)
Na1 0.0000 0.0000 0.0000  12 In 3.29-3.30
Tb1 0.0000 0.0000 0.3352  12 In 3.28-3.33
Tb2 0.0000 0.0000 0.6648  12 In 3.28-3.33
In1 0.0000 0.5000 0.1662  8 In 3.29-3.33, 2 Na 3.30, 2 Tb 3.33
In2 0.0000 0.5000 0.5000  8 In 3.28-3.29, 4 Tb 3.28
In3 0.0000 0.5000 0.8338  8 In 3.29-3.33, 2 Na 3.30, 2 Tb 3.33
In4 0.5000 0.0000 0.1662  8 In 3.29-3.33, 2 Na 3.30, 2 Tb 3.33
In5 0.5000 0.0000 0.5000  8 In 3.28-3.29, 4 Tb 3.28
In6 0.5000 0.0000 0.8338  8 In 3.29-3.33, 2 Na 3.30, 2 Tb 3.33
In7 0.5000 0.5000 0.0000  4 Na 3.29, 8 In 3.30
In8 0.5000 0.5000 0.3352  8 In 3.28-3.33, 4 Tb 3.29
In9 0.5000 0.5000 0.6648  8 In 3.28-3.33, 4 Tb 3.29

- DFT formation energy (eV/atom) = -0.298
- symmetry = No. 123